1.
SrInPt4: relaxed, PBE.

Computed properties:
energy of formation from the pure elements = -0.628 eV per atom
symmetry = No. 216

The structure in POSCAR format:
```
SrInPt4
1.0
-5.442 0.213 0.583
-2.227 -0.174 5.001
-2.356 4.474 2.106
Sr In Pt
1 1 4
Direct
0.250 0.250 0.250 Sr
0.000 0.000 0.000 In
0.626 0.626 0.123 Pt
0.123 0.626 0.626 Pt
0.626 0.123 0.626 Pt
0.626 0.626 0.626 Pt
```

2.
SrIn3Pt3: relaxed, PBE.

Computed properties:
energy of formation from the pure elements = -0.573 eV per atom
symmetry = No. 176
energy relative to the lowest polymorph listed for this composition = 0.00 eV per formula unit

The structure in POSCAR format:
```
SrIn3Pt3
1.0
4.460 0.000 0.000
0.000 8.138 -4.646
0.000 -0.045 9.372
In Pt Sr
6 6 2
Direct
0.250 0.247 0.939 In
0.750 0.753 0.061 In
0.250 0.061 0.308 In
0.750 0.939 0.692 In
0.250 0.691 0.753 In
0.750 0.309 0.247 In
0.750 0.608 0.565 Pt
0.250 0.392 0.435 Pt
0.250 0.043 0.608 Pt
0.750 0.435 0.043 Pt
0.250 0.565 0.957 Pt
0.750 0.957 0.392 Pt
0.750 0.333 0.667 Sr
0.250 0.667 0.333 Sr
```

3.
Sr2TaInPt: relaxed, PBE.

Computed properties:
energy of formation from the pure elements = 0.194 eV per atom
symmetry = No. 123

The structure in POSCAR format:
```
Sr2TaInPt
1.0
-2.025 -1.266 -5.391
-3.746 -2.496 1.993
-3.246 4.922 0.064
Sr In Ta Pt
2 1 1 1
Direct
0.000 0.000 0.500 Sr
0.500 0.000 0.000 Sr
0.500 0.500 0.500 In
0.000 0.500 0.000 Ta
0.000 0.000 0.000 Pt
```

4.
Sr2TbIn12Pt3: relaxed, PBE.

Computed properties:
energy of formation from the pure elements = -0.157 eV per atom
symmetry = No. 166

The structure in POSCAR format:
```
Sr2TbIn12Pt3
1.0
8.701 -0.503 -0.357
3.860 7.815 -0.357
3.860 2.247 7.493
Pt Tb In Sr
3 1 12 2
Direct
0.500 0.000 0.000 Pt
0.000 0.000 0.500 Pt
0.000 0.500 0.000 Pt
0.000 0.000 0.000 Tb
0.165 0.165 0.559 In
0.142 0.731 0.731 In
0.441 0.835 0.835 In
0.731 0.142 0.731 In
0.269 0.858 0.269 In
0.165 0.559 0.165 In
0.731 0.731 0.142 In
0.858 0.269 0.269 In
0.559 0.165 0.165 In
0.835 0.835 0.441 In
0.835 0.441 0.835 In
0.269 0.269 0.858 In
0.585 0.585 0.585 Sr
0.415 0.415 0.415 Sr
```

5.
Sr2TlIn3Pt4: relaxed, PBE.

Computed properties:
energy of formation from the pure elements = -0.621 eV per atom
symmetry = No. 115

The structure in POSCAR format:
```
Sr2TlIn3Pt4
1.0
-2.044 4.048 1.453
1.433 -0.876 4.456
9.157 5.307 -1.901
Pt Tl In Sr
4 1 3 2
Direct
0.500 0.000 0.634 Pt
0.500 0.500 0.000 Pt
0.000 0.000 0.000 Pt
0.000 0.500 0.366 Pt
0.500 0.500 0.500 Tl
0.000 0.000 0.500 In
0.000 0.500 0.120 In
0.500 0.000 0.880 In
0.500 0.000 0.233 Sr
0.000 0.500 0.767 Sr
```

6.
Sr2TlInPt: relaxed, PBE.

Computed properties:
energy of formation from the pure elements = -0.479 eV per atom
symmetry = No. 123

The structure in POSCAR format:
```
Sr2TlInPt
1.0
-2.035 4.440 3.228
-1.770 -3.789 4.097
4.606 0.397 2.357
Sr Pt In Tl
2 1 1 1
Direct
0.000 0.500 0.000 Sr
0.500 0.000 0.000 Sr
0.000 0.000 0.000 Pt
0.000 0.000 0.500 In
0.500 0.500 0.500 Tl
```